1.
Fe3NiAs8 | PBEsol | relaxed

Unit cell a=5.2010 b=2.9239 c=11.7901 alpha=90.00 beta=90.02 gamma=90.00
Closest atoms and distances in Å follow each position.
Space group P2/m (No. 10)
Asymmetric unit:
Fe1 0.0000 0.0000 0.0000 x1  6 As 2.32-2.35
Fe2 0.4994 0.5000 0.2510 x2  6 As 2.29-2.35
Ni1 0.0000 0.0000 0.5000 x1  6 As 2.38
As1 0.1814 0.0000 0.6852 x2  2 Fe 2.34, 1 Ni 2.38, 1 As 2.50
As2 0.1861 0.0000 0.1785 x2  3 Fe 2.32-2.35, 1 As 2.50
As3 0.3175 0.5000 0.9304 x2  3 Fe 2.34-2.35, 1 As 2.51
As4 0.3226 0.5000 0.4291 x2  1 Fe 2.29, 2 Ni 2.38, 1 As 2.49

Computed properties:
Energy of formation from the pure elements = -3.96 eV per formula unit
Crystal system = monoclinic
D(E_F) = 3.54 states/eV/cell
Mass density = 7.65 g/cm³

2.
HfPAu2Cl | PBEsol | relaxed

Unit cell a=4.7050 b=4.7050 c=4.6485 alpha=90.00 beta=90.00 gamma=90.00
Closest atoms and distances in Å follow each position.
Space group P4/mmm (No. 123)
Asymmetric unit:
Hf1 0.0000 0.0000 0.0000 x1  2 Cl 2.32
P1 0.5000 0.5000 0.0000 x1  8 Au 3.31, 4 Hf 3.33
Au1 0.0000 0.5000 0.5000 x2  2 Cl 2.35
Cl1 0.0000 0.0000 0.5000 x1  2 Hf 2.32, 4 Au 2.35

Computed properties:
Uncorrected formation energy = 883 meV/atom
Crystal system = tetragonal
D(E_F) = 3.51 states/eV/cell
Mass density = 10.31 g/cm³

3.
Nd3Ge13Rh4 | PBEsol | relaxed

Unit cell a=8.9854 b=8.9854 c=8.9854 alpha=90.00 beta=90.00 gamma=90.00
Closest atoms and distances in Å follow each position.
Space group Pm-3n (No. 223)
Asymmetric unit:
Nd1 0.0000 0.2500 0.5000 x6  12 Ge 3.14-3.21, 4 Rh 3.18
Ge1 0.0000 0.0000 0.0000 x2  12 Ge 3.04
Ge2 0.0000 0.3046 0.1471 x24  2 Rh 2.48, 1 Ge 2.64
Rh1 0.2500 0.2500 0.2500 x8  6 Ge 2.48

Computed properties:
Energy of formation from the pure elements = -12.05 eV per formula unit
Crystal system = cubic
D(E_F) = 12.85 states/eV/cell
Mass density = 8.19 g/cm³